(1)
# Ca4ZnCu | Alexandria | PBE | relaxed
# uncorrected energy	-1.617	eV/atom
# energy above the lowest structure with this stoichiometry	724	meV per atom
# crystal system	cubic
# symmetry	F-43m, No. 216
data_Ca4ZnCu
_symmetry_space_group_name_H-M 'P 1'
_symmetry_Int_Tables_number 1
_symmetry_space_group_name_Hall 'P 1'
_cell_length_a 6.652
_cell_length_b 6.652
_cell_length_c 6.652
_cell_angle_alpha 60.00
_cell_angle_beta 60.00
_cell_angle_gamma 60.00
loop_
_atom_site_label
_atom_site_type_symbol
_atom_site_fract_x
_atom_site_fract_y
_atom_site_fract_z
_atom_site_occupancy
Zn1 Zn 0.000 0.000 0.000 1
Ca1 Ca 0.375 0.375 0.875 1
Ca2 Ca 0.375 0.875 0.375 1
Ca3 Ca 0.875 0.375 0.375 1
Ca4 Ca 0.375 0.375 0.375 1
Cu1 Cu 0.750 0.750 0.750 1

---

(2)
# Y2SbMo | Alexandria | PBE | relaxed
# uncorrected energy	-7.056	eV/atom
# crystal system	tetragonal
# E_form (uncorrected)	-0.341	eV per formula unit
# symmetry	P4mm, No. 99
data_Y2SbMo
_symmetry_space_group_name_H-M 'P 1'
_symmetry_Int_Tables_number 1
_symmetry_space_group_name_Hall 'P 1'
_cell_length_a 3.569
_cell_length_b 3.569
_cell_length_c 7.939
_cell_angle_alpha 90.00
_cell_angle_beta 90.00
_cell_angle_gamma 90.00
loop_
_atom_site_label
_atom_site_type_symbol
_atom_site_fract_x
_atom_site_fract_y
_atom_site_fract_z
_atom_site_occupancy
Y1 Y 0.500 0.500 0.303 1
Y2 Y 0.000 0.000 0.950 1
Sb1 Sb 0.500 0.500 0.700 1
Mo1 Mo 0.000 0.000 0.546 1

---

(3)
# ZrTa2Tc | Alexandria | PBE | relaxed
# uncorrected energy	-10.560	eV/atom
# energy above the lowest structure with this stoichiometry	307	meV per atom
# crystal system	trigonal
# symmetry	R3m, No. 160
data_ZrTa2Tc
_symmetry_space_group_name_H-M 'P 1'
_symmetry_Int_Tables_number 1
_symmetry_space_group_name_Hall 'P 1'
_cell_length_a 9.251
_cell_length_b 9.251
_cell_length_c 9.251
_cell_angle_alpha 19.15
_cell_angle_beta 19.15
_cell_angle_gamma 19.15
loop_
_atom_site_label
_atom_site_type_symbol
_atom_site_fract_x
_atom_site_fract_y
_atom_site_fract_z
_atom_site_occupancy
Zr1 Zr 0.755 0.755 0.755 1
Ta1 Ta 0.244 0.244 0.244 1
Ta2 Ta 0.996 0.996 0.996 1
Tc1 Tc 0.504 0.504 0.504 1

---

(4)
# Hf2CuNi | Alexandria | PBE | relaxed
# uncorrected energy	-7.749	eV/atom
# crystal system	orthorhombic
# symmetry	Amm2, No. 38
data_Hf2CuNi
_symmetry_space_group_name_H-M 'P 1'
_symmetry_Int_Tables_number 1
_symmetry_space_group_name_Hall 'P 1'
_cell_length_a 3.251
_cell_length_b 4.137
_cell_length_c 5.231
_cell_angle_alpha 90.00
_cell_angle_beta 108.10
_cell_angle_gamma 90.00
loop_
_atom_site_label
_atom_site_type_symbol
_atom_site_fract_x
_atom_site_fract_y
_atom_site_fract_z
_atom_site_occupancy
Ni1 Ni 0.367 0.000 0.734 1
Hf1 Hf 0.802 0.500 0.604 1
Hf2 Hf 0.092 0.000 0.183 1
Cu1 Cu 0.524 0.500 0.048 1

---

(5)
# Na2BeI4 | Alexandria | PBE | relaxed
# uncorrected energy	-2.724	eV/atom
# crystal system	tetragonal
# E_form (uncorrected)	-6.502	eV per formula unit
# symmetry	I-42m, No. 121
data_Na2BeI4
_symmetry_space_group_name_H-M 'P 1'
_symmetry_Int_Tables_number 1
_symmetry_space_group_name_Hall 'P 1'
_cell_length_a 7.334
_cell_length_b 7.334
_cell_length_c 7.818
_cell_angle_alpha 117.97
_cell_angle_beta 117.97
_cell_angle_gamma 90.00
loop_
_atom_site_label
_atom_site_type_symbol
_atom_site_fract_x
_atom_site_fract_y
_atom_site_fract_z
_atom_site_occupancy
I1 I 0.585 0.585 0.776 1
I2 I 0.415 0.810 0.224 1
I3 I 0.190 0.190 0.776 1
I4 I 0.810 0.415 0.224 1
Na1 Na 0.750 0.250 0.500 1
Na2 Na 0.250 0.750 0.500 1
Be1 Be 0.500 0.500 0.000 1

---

(6)
# ZrTaCl2 | Alexandria | PBE | relaxed
# uncorrected energy	-6.470	eV/atom
# energy above the lowest structure with this stoichiometry	431	meV per atom
# crystal system	monoclinic
# E_form (uncorrected)	-1.786	eV per formula unit
# symmetry	C2/m, No. 12
data_ZrTaCl2
_symmetry_space_group_name_H-M 'P 1'
_symmetry_Int_Tables_number 1
_symmetry_space_group_name_Hall 'P 1'
_cell_length_a 7.156
_cell_length_b 7.156
_cell_length_c 4.672
_cell_angle_alpha 85.53
_cell_angle_beta 85.53
_cell_angle_gamma 26.60
loop_
_atom_site_label
_atom_site_type_symbol
_atom_site_fract_x
_atom_site_fract_y
_atom_site_fract_z
_atom_site_occupancy
Cl1 Cl 0.608 0.608 0.468 1
Cl2 Cl 0.892 0.892 0.032 1
Ta1 Ta 0.750 0.750 0.750 1
Zr1 Zr 0.250 0.250 0.250 1

---

(7)
# LaYCd17 | Alexandria | PBE | relaxed
# uncorrected energy	-1.569	eV/atom
# crystal system	trigonal
# symmetry	R3m, No. 160
data_LaYCd17
_symmetry_space_group_name_H-M 'P 1'
_symmetry_Int_Tables_number 1
_symmetry_space_group_name_Hall 'P 1'
_cell_length_a 7.683
_cell_length_b 7.683
_cell_length_c 7.683
_cell_angle_alpha 82.26
_cell_angle_beta 82.26
_cell_angle_gamma 82.26
loop_
_atom_site_label
_atom_site_type_symbol
_atom_site_fract_x
_atom_site_fract_y
_atom_site_fract_z
_atom_site_occupancy
Cd1 Cd 0.198 0.626 0.626 1
Cd2 Cd 0.907 0.907 0.907 1
Cd3 Cd 0.348 0.870 0.348 1
Cd4 Cd 0.003 0.298 0.697 1
Cd5 Cd 0.298 0.697 0.003 1
Cd6 Cd 0.981 0.981 0.521 1
Cd7 Cd 0.105 0.105 0.105 1
Cd8 Cd 0.981 0.521 0.981 1
Cd9 Cd 0.697 0.298 0.003 1
Cd10 Cd 0.870 0.348 0.348 1
Cd11 Cd 0.348 0.348 0.870 1
Cd12 Cd 0.521 0.981 0.981 1
Cd13 Cd 0.626 0.626 0.198 1
Cd14 Cd 0.003 0.697 0.298 1
Cd15 Cd 0.697 0.003 0.298 1
Cd16 Cd 0.626 0.198 0.626 1
Cd17 Cd 0.298 0.003 0.697 1
La1 La 0.666 0.666 0.666 1
Y1 Y 0.327 0.327 0.327 1

---

(8)
# Ba2AlAs | Alexandria | PBE | relaxed
# uncorrected energy	-3.424	eV/atom
# energy above the lowest structure with this stoichiometry	269	meV per atom
# crystal system	cubic
# symmetry	Fm-3m, No. 225
data_Ba2AlAs
_symmetry_space_group_name_H-M 'P 1'
_symmetry_Int_Tables_number 1
_symmetry_space_group_name_Hall 'P 1'
_cell_length_a 5.774
_cell_length_b 5.774
_cell_length_c 5.774
_cell_angle_alpha 60.00
_cell_angle_beta 60.00
_cell_angle_gamma 60.00
loop_
_atom_site_label
_atom_site_type_symbol
_atom_site_fract_x
_atom_site_fract_y
_atom_site_fract_z
_atom_site_occupancy
Ba1 Ba 0.750 0.750 0.750 1
Ba2 Ba 0.250 0.250 0.250 1
Al1 Al 0.000 0.000 0.000 1
As1 As 0.500 0.500 0.500 1